# LiNbS3 PBE optimized geometry
data_LiNbS3
_symmetry_space_group_name_H-M 'P m -3 m'
_symmetry_Int_Tables_number 221
_symmetry_space_group_name_Hall '-P 4 2 3'
_cell_length_a 4.823
_cell_length_b 4.823
_cell_length_c 4.823
_cell_angle_alpha 90.00
_cell_angle_beta 90.00
_cell_angle_gamma 90.00
loop_
_atom_site_label
_atom_site_type_symbol
_atom_site_fract_x
_atom_site_fract_y
_atom_site_fract_z
_atom_site_occupancy
Li1 Li 0.000 0.000 0.000 1
Nb1 Nb 0.500 0.500 0.500 1
S1 S 0.000 0.500 0.500 1
# Spin magnetization   0.0 μB per cell
# VASP energy   -5.54 eV per atom
# ΔE to the lowest computed polymorph   265 meV/atom
# Raw formation energy   -0.671 eV per atom



# La2HRu PBE optimized geometry
data_La2HRu
_symmetry_space_group_name_H-M 'P 1 2/c 1'
_symmetry_Int_Tables_number 13
_symmetry_space_group_name_Hall '-P 2yc'
_cell_length_a 5.612
_cell_length_b 5.612
_cell_length_c 12.838
_cell_angle_alpha 90.00
_cell_angle_beta 115.89
_cell_angle_gamma 90.00
loop_
_atom_site_label
_atom_site_type_symbol
_atom_site_fract_x
_atom_site_fract_y
_atom_site_fract_z
_atom_site_occupancy
La1 La 0.124 0.249 0.124 1
La2 La 0.375 0.250 0.874 1
H1 H 0.375 0.249 0.375 1
Ru1 Ru 0.124 0.251 0.625 1
# Spin magnetization   0.0 μB per cell
# VASP energy   -5.97 eV per atom
# ΔE to the lowest computed polymorph   0 meV/atom



# ScCoS2 PBE optimized geometry
data_ScCoS2
_symmetry_space_group_name_H-M 'I -4 2 d'
_symmetry_Int_Tables_number 122
_symmetry_space_group_name_Hall 'I -4 2bw'
_cell_length_a 5.341
_cell_length_b 5.341
_cell_length_c 11.302
_cell_angle_alpha 90.00
_cell_angle_beta 90.00
_cell_angle_gamma 90.00
loop_
_atom_site_label
_atom_site_type_symbol
_atom_site_fract_x
_atom_site_fract_y
_atom_site_fract_z
_atom_site_occupancy
Sc1 Sc 0.000 0.000 0.000 1
Co1 Co 0.000 0.000 0.500 1
S1 S 0.215 0.250 0.625 1
# Spin magnetization   8.0 μB per cell
# VASP energy   -6.42 eV per atom
# ΔE to the lowest computed polymorph   0 meV/atom
# Raw formation energy   -0.992 eV per atom



# Li2Mg2Al PBE optimized geometry
data_Li2Mg2Al
_symmetry_space_group_name_H-M 'P 4/m b m'
_symmetry_Int_Tables_number 127
_symmetry_space_group_name_Hall '-P 4 2ab'
_cell_length_a 7.144
_cell_length_b 7.144
_cell_length_c 3.670
_cell_angle_alpha 90.00
_cell_angle_beta 90.00
_cell_angle_gamma 90.00
loop_
_atom_site_label
_atom_site_type_symbol
_atom_site_fract_x
_atom_site_fract_y
_atom_site_fract_z
_atom_site_occupancy
Li1 Li 0.135 0.365 0.000 1
Mg1 Mg 0.167 0.667 0.500 1
Al1 Al 0.000 0.000 0.000 1
# Spin magnetization   0.0 μB per cell
# VASP energy   -2.13 eV per atom
# ΔE to the lowest computed polymorph   105 meV/atom
# Energy of formation from the pure elements   24 meV/atom